Entry from Alexandria via LeMat-Bulk: an optimized crystal structure of PrDyTcN3 (GGA-PBE).

Lattice parameters (Å, degrees): 7.452 3.418 7.828 90.00 98.69 90.00
Element x y z (fractional)
Pr  0.192  0.250  0.191
Pr  0.808  0.750  0.809
Dy  0.164  0.250  0.626
Dy  0.836  0.750  0.374
Tc  0.403  0.750  0.914
Tc  0.597  0.250  0.086
N  0.144  0.750  0.415
N  0.146  0.750  0.859
N  0.466  0.750  0.174
N  0.534  0.250  0.826
N  0.854  0.250  0.141
N  0.856  0.250  0.585

energy relative to the elements, uncorrected: -0.865 eV per atom
E_tot: -99.8 eV/cell